# Th8Si3Se4S, optimized geometry, DFT PBE
data_Th8Si3Se4S
_space_group_name_H-M_alt 'R -3 m'
_space_group_IT_number 166
_space_group_name_Hall '-R 3 2"'
_cell_length_a 8.4250
_cell_length_b 8.4250
_cell_length_c 20.7460
_cell_angle_alpha 90.00
_cell_angle_beta 90.00
_cell_angle_gamma 120.00
loop_
_atom_site_label
_atom_site_type_symbol
_atom_site_fract_x
_atom_site_fract_y
_atom_site_fract_z
_atom_site_occupancy
Th1 Th 0.0000 0.0000 0.2449 1
Th2 Th 0.0011 0.5005 0.2443 1
Si1 Si 0.0000 0.5000 0.5000 1
Se1 Se 0.0000 0.0000 0.0000 1
Se2 Se 0.0000 0.5000 0.0000 1
S1 S 0.0000 0.0000 0.5000 1
# Uncorrected formation energy: -1.3224 eV/atom
# Fermi-level density of states: 0.559 states/eV per atom